A relaxed structure of LiTl2Cd2Hg5, computed with PBE.

Unit cell a=12.2577 b=12.2577 c=3.4042 alpha=90.00 beta=90.00 gamma=90.00
With the nearest neighbours (Å) after each atom.
Positions (direct):
1 Li 0.0000 0.0000 0.0000  8 Hg 2.84
2 Li 0.5000 0.5000 0.0000  8 Hg 2.84
3 Tl 0.1693 0.3307 0.0000  1 Cd 3.17, 6 Hg 3.39-3.48, 2 Tl 3.40
4 Tl 0.3307 0.8307 0.0000  1 Cd 3.17, 6 Hg 3.39-3.48, 2 Tl 3.40
5 Tl 0.6693 0.1693 0.0000  1 Cd 3.17, 6 Hg 3.39-3.48, 2 Tl 3.40
6 Tl 0.8307 0.6693 0.0000  1 Cd 3.17, 6 Hg 3.39-3.48, 2 Tl 3.40
7 Cd 0.1477 0.6477 0.0000  6 Hg 3.05-3.07, 1 Tl 3.17, 2 Cd 3.40
8 Cd 0.3523 0.1477 0.0000  6 Hg 3.05-3.07, 1 Tl 3.17, 2 Cd 3.40
9 Cd 0.6477 0.8523 0.0000  6 Hg 3.05-3.07, 1 Tl 3.17, 2 Cd 3.40
10 Cd 0.8523 0.3523 0.0000  6 Hg 3.05-3.07, 1 Tl 3.17, 2 Cd 3.40
11 Hg 0.0000 0.5000 0.5000  4 Cd 3.07, 4 Tl 3.39, 2 Hg 3.40
12 Hg 0.0296 0.8166 0.5000  2 Li 2.84, 2 Cd 3.05
13 Hg 0.1834 0.0296 0.5000  2 Li 2.84, 2 Cd 3.05
14 Hg 0.3166 0.5296 0.5000  2 Li 2.84, 2 Cd 3.05
15 Hg 0.4704 0.3166 0.5000  2 Li 2.84, 2 Cd 3.05
16 Hg 0.5000 0.0000 0.5000  4 Cd 3.07, 4 Tl 3.39, 2 Hg 3.40
17 Hg 0.5296 0.6834 0.5000  2 Li 2.84, 2 Cd 3.05
18 Hg 0.6834 0.4704 0.5000  2 Li 2.84, 2 Cd 3.05
19 Hg 0.8166 0.9704 0.5000  2 Li 2.84, 2 Cd 3.05
20 Hg 0.9704 0.1834 0.5000  2 Li 2.84, 2 Cd 3.05

## Properties
The total energy comes out at -1.072 eV/atom. Its formation energy from the elements is -0.074 eV/atom.